Density functional theory data (PBE) for crystalline NdEu2Tm at its relaxed geometry.

Calculated values
- Space group: No. 225
- Energy of formation: 155.6 meV per atom
- Energy above the most stable polymorph in this dataset: 0.057 eV per atom
- V: 144 Å³/cell

abc: 5.8842 5.8842 5.8842
angles: 60.00 60.00 60.00
Each line ends with the local moment (μB).
Fractional positions:
Eu 0.2500 0.2500 0.2500  6.84
Eu 0.7500 0.7500 0.7500  6.84
Tm 0.5000 0.5000 0.5000  0.07
Nd 0.0000 0.0000 0.0000  0.05



Density functional theory data (PBE) for crystalline NiHgCl2 at its relaxed geometry.

Calculated values
- Space group: No. 71
- Energy above the most stable polymorph in this dataset: 0.071 eV per atom
- V: 114 Å³/cell

abc: 6.4408 6.4408 6.4408
angles: 151.85 113.79 73.44
Each line ends with the local moment (μB).
Fractional positions:
Ni 0.2500 0.7500 0.5000  0.11
Hg 0.7500 0.2500 0.5000  0.00
Cl 0.1026 0.1026 0.0000  0.01
Cl 0.3974 0.3974 0.0000  0.01



Density functional theory data (PBE) for crystalline Sr2MnOs at its relaxed geometry.

Calculated values
- Space group: No. 166
- Energy of formation: 1104.8 meV per atom
- Energy above the most stable polymorph in this dataset: 0.868 eV per atom
- V: 107 Å³/cell

abc: 10.4303 10.4303 10.4303
angles: 19.16 19.16 19.16
Each line ends with the local moment (μB).
Fractional positions:
Mn 0.2500 0.2500 0.2500  4.06
Os 0.7500 0.7500 0.7500  0.09
Sr 0.0105 0.0105 0.0105  -0.03
Sr 0.4895 0.4895 0.4895  -0.03



Density functional theory data (PBE) for crystalline Sc4Zn3Au at its relaxed geometry.

Calculated values
- Space group: No. 123
- Energy of formation: -486.7 meV per atom
- V: 152 Å³/cell

abc: 3.3850 3.3850 13.2877
angles: 90.00 90.00 90.00
Fractional positions:
Sc 0.0000 0.0000 0.8731
Sc 0.0000 0.0000 0.1269
Sc 0.0000 0.0000 0.3756
Sc 0.0000 0.0000 0.6244
Zn 0.5000 0.5000 0.2544
Zn 0.5000 0.5000 0.5000
Zn 0.5000 0.5000 0.7456
Au 0.5000 0.5000 0.0000



Which of these has the lowest V?
Sr2MnOs



V of number 4 (Sc4Zn3Au)?
152 Å³/cell